No. 1
A relaxed structure of MoOs2I2. Source: the Alexandria database, functional PBE.

Lattice parameters (Å, degrees): 7.662 7.662 3.186 90.00 90.00 90.00
Fractional coordinates of all 10 atoms:
I (0.338, 0.838, 0.000)
I (0.838, 0.662, 0.000)
I (0.662, 0.162, 0.000)
I (0.162, 0.338, 0.000)
Mo (0.000, 0.000, 0.000)
Mo (0.500, 0.500, 0.000)
Os (0.143, 0.643, 0.500)
Os (0.643, 0.857, 0.500)
Os (0.857, 0.357, 0.500)
Os (0.357, 0.143, 0.500)

Polymorph energy (0 for the lowest one)   403 meV per atom
SG   P4/mbm (127)
Raw formation energy   1749 meV/atom

No. 2
A relaxed structure of MoOs2I. Source: the Alexandria database, functional PBE.

Lattice parameters (Å, degrees): 4.590 4.590 4.590 60.00 60.00 60.00
Last column: magnetic moment on the atom in μB.
Fractional coordinates of all 4 atoms:
I (0.500, 0.500, 0.500)  0.08
Mo (0.000, 0.000, 0.000)  -0.07
Os (0.250, 0.250, 0.250)  0.67
Os (0.750, 0.750, 0.750)  0.67

Polymorph energy (0 for the lowest one)   5 meV per atom
SG   Fm-3m (225)
Raw formation energy   1452 meV/atom

No. 3
A relaxed structure of MoOs2I. Source: the Alexandria database, functional PBE.

Lattice parameters (Å, degrees): 5.945 5.945 6.925 64.58 64.58 90.00
Fractional coordinates of all 8 atoms:
I (0.000, 0.000, 0.000)
I (0.750, 0.250, 0.500)
Mo (0.500, 0.500, 0.000)
Mo (0.250, 0.750, 0.500)
Os (0.602, 0.125, 0.250)
Os (0.148, 0.625, 0.250)
Os (0.375, 0.398, 0.750)
Os (0.875, 0.852, 0.750)

Polymorph energy (0 for the lowest one)   0 meV per atom
SG   I-42d (122)
Raw formation energy   1447 meV/atom

No. 4
A relaxed structure of MoOs2PbI. Source: the Alexandria database, functional PBE.

Lattice parameters (Å, degrees): 4.882 4.974 4.882 90.00 90.00 90.00
Last column: magnetic moment on the atom in μB.
Fractional coordinates of all 5 atoms:
Pb (0.500, 0.500, 0.500)  0.00
I (0.000, 0.000, 0.000)  -0.03
Mo (0.000, 0.500, 0.000)  1.27
Os (0.000, 0.000, 0.500)  0.09
Os (0.500, 0.000, 0.000)  0.16

SG   P4/mmm (123)
Raw formation energy   2293 meV/atom

No. 5
A relaxed structure of MoOsPbI2. Source: the Alexandria database, functional PBE.

Lattice parameters (Å, degrees): 5.461 4.821 5.461 90.00 90.00 90.00
Last column: magnetic moment on the atom in μB.
Fractional coordinates of all 5 atoms:
Pb (0.500, 0.500, 0.500)  0.03
I (0.000, 0.000, 0.500)  0.01
I (0.500, 0.000, 0.000)  0.01
Mo (0.000, 0.000, 0.000)  0.76
Os (0.000, 0.500, 0.000)  -0.04

SG   P4/mmm (123)
Raw formation energy   1136 meV/atom

No. 6
A relaxed structure of Rb2MoOsI. Source: the Alexandria database, functional PBE.

Lattice parameters (Å, degrees): 6.847 5.452 6.847 90.00 90.00 90.00
Last column: magnetic moment on the atom in μB.
Fractional coordinates of all 5 atoms:
I (0.000, 0.000, 0.000)  0.03
Mo (0.000, 0.500, 0.000)  3.45
Os (0.500, 0.500, 0.500)  2.56
Rb (0.000, 0.000, 0.500)  0.00
Rb (0.500, 0.000, 0.000)  0.00

SG   P4/mmm (123)
Raw formation energy   1832 meV/atom

No. 7
A relaxed structure of MoOsS2I. Source: the Alexandria database, functional PBE.

Lattice parameters (Å, degrees): 5.047 4.973 5.047 90.00 90.00 90.00
Last column: magnetic moment on the atom in μB.
Fractional coordinates of all 5 atoms:
I (0.000, 0.000, 0.000)  0.03
Mo (0.500, 0.500, 0.500)  3.56
Os (0.000, 0.500, 0.000)  -1.57
S (0.000, 0.000, 0.500)  -0.13
S (0.500, 0.000, 0.000)  -0.08

SG   P4/mmm (123)
Raw formation energy   2212 meV/atom

No. 8
A relaxed structure of Sb2MoOsI. Source: the Alexandria database, functional PBE.

Lattice parameters (Å, degrees): 5.048 5.048 5.784 90.00 90.00 90.00
Last column: magnetic moment on the atom in μB.
Fractional coordinates of all 5 atoms:
I (0.000, 0.000, 0.500)  0.00
Sb (0.000, 0.500, 0.000)  -0.08
Sb (0.500, 0.000, 0.000)  -0.08
Mo (0.500, 0.500, 0.500)  3.72
Os (0.000, 0.000, 0.000)  0.12

Polymorph energy (0 for the lowest one)   0 meV per atom
SG   P4/mmm (123)
Raw formation energy   1328 meV/atom

No. 9
A relaxed structure of SbMoOsI2. Source: the Alexandria database, functional PBE.

Lattice parameters (Å, degrees): 5.399 5.399 5.336 90.00 90.00 90.00
Last column: magnetic moment on the atom in μB.
Fractional coordinates of all 5 atoms:
I (0.000, 0.500, 0.000)  0.03
I (0.500, 0.000, 0.000)  0.03
Sb (0.000, 0.000, 0.500)  0.03
Mo (0.000, 0.000, 0.000)  -1.31
Os (0.500, 0.500, 0.500)  3.07

Polymorph energy (0 for the lowest one)   317 meV per atom
SG   P4/mmm (123)
Raw formation energy   1721 meV/atom

No. 10
A relaxed structure of SbMo2OsI. Source: the Alexandria database, functional PBE.

Lattice parameters (Å, degrees): 4.841 5.501 4.841 90.00 90.00 90.00
Last column: magnetic moment on the atom in μB.
Fractional coordinates of all 5 atoms:
I (0.000, 0.000, 0.000)  0.01
Sb (0.000, 0.500, 0.000)  -0.02
Mo (0.000, 0.000, 0.500)  -0.19
Mo (0.500, 0.000, 0.000)  -0.26
Os (0.500, 0.500, 0.500)  1.97

SG   P4/mmm (123)
Raw formation energy   2849 meV/atom

No. 11
A relaxed structure of Sb2MoOsI. Source: the Alexandria database, functional PBE.

Lattice parameters (Å, degrees): 5.213 5.213 5.319 90.00 90.00 90.00
Last column: magnetic moment on the atom in μB.
Fractional coordinates of all 5 atoms:
I (0.000, 0.000, 0.500)  0.04
Sb (0.000, 0.500, 0.000)  -0.05
Sb (0.500, 0.000, 0.000)  -0.05
Mo (0.000, 0.000, 0.000)  -0.18
Os (0.500, 0.500, 0.500)  2.62

Polymorph energy (0 for the lowest one)   343 meV per atom
SG   P4/mmm (123)
Raw formation energy   1671 meV/atom

No. 12
A relaxed structure of SbMoOsI2. Source: the Alexandria database, functional PBE.

Lattice parameters (Å, degrees): 5.570 5.570 4.995 90.00 90.00 90.00
Last column: magnetic moment on the atom in μB.
Fractional coordinates of all 5 atoms:
I (0.000, 0.500, 0.000)  -0.01
I (0.500, 0.000, 0.000)  -0.01
Sb (0.000, 0.000, 0.500)  -0.07
Mo (0.500, 0.500, 0.500)  3.88
Os (0.000, 0.000, 0.000)  -0.05

Polymorph energy (0 for the lowest one)   0 meV per atom
SG   P4/mmm (123)
Raw formation energy   1404 meV/atom